{
  "formula": "Ca3AgBi3",
  "functional": "PBE",
  "state": "optimized geometry",
  "final_energy_ev_per_fu": -24.9,
  "volume_a3_per_fu": 215,
  "cell": [[4.641, 0.000, 0.699], [2.219, 6.121, 1.023], [0.071, 1.248, 15.279]],
  "species": ["Ca", "Ca", "Ca", "Ca", "Ca", "Ca", "Ag", "Ag", "Bi", "Bi", "Bi", "Bi", "Bi", "Bi"],
  "fractional_positions": [[0.553, 0.290, 0.603], [0.447, 0.710, 0.397], [0.266, 0.249, 0.219], [0.734, 0.751, 0.781], [0.423, 0.241, 0.913], [0.577, 0.759, 0.087], [0.777, 0.062, 0.383], [0.223, 0.938, 0.617], [0.859, 0.714, 0.569], [0.141, 0.286, 0.431], [0.152, 0.767, 0.928], [0.848, 0.233, 0.072], [0.982, 0.798, 0.238], [0.018, 0.202, 0.762]]
}